(w)
First-principles (PBE-GGA) data for an optimized crystal structure of Sr2LiCo, as listed in the Alexandria database.

Geometry as POSCAR:
```
Sr2LiCo
1.0
0.000 3.802 3.802
3.802 0.000 3.802
3.802 3.802 0.000
Sr Li Co
2 1 1
Cartesian
0.000 0.000 0.000 Sr
1.901 1.901 1.901 Sr
3.802 3.802 3.802 Li
5.703 5.703 5.703 Co
```

Values from the calculation:
Its spin magnetization is 0.73 μB/cell. As for the space group: No. 216.

---

(x)
First-principles (PBE-GGA) data for an optimized crystal structure of Sr2LiCo, as listed in the Alexandria database.

Geometry as POSCAR:
```
Sr2LiCo
1.0
-4.202 4.202 3.530
4.202 -4.202 3.530
4.202 4.202 -3.530
Sr Li Co
4 2 2
Cartesian
6.303 1.697 -0.883 Sr
1.697 2.101 0.883 Sr
-2.101 2.505 2.648 Sr
2.505 2.101 4.413 Sr
4.202 0.000 1.765 Li
0.000 0.000 3.530 Li
0.000 0.000 0.000 Co
0.000 4.202 1.765 Co
```

Values from the calculation:
Its spin magnetization is 0.60 μB/cell. As for the space group: No. 122.

---

(y)
First-principles (PBE-GGA) data for an optimized crystal structure of Sr2LiCo, as listed in the Alexandria database.

Geometry as POSCAR:
```
Sr2LiCo
1.0
3.763 0.000 0.000
0.000 3.763 0.000
0.000 0.000 8.465
Sr Li Co
2 1 1
Cartesian
0.000 0.000 1.748 Sr
0.000 0.000 6.718 Sr
1.881 1.881 4.233 Li
1.881 1.881 0.000 Co
```

Values from the calculation:
Its spin magnetization is 0.57 μB/cell. As for the space group: No. 123.

---

(z)
First-principles (PBE-GGA) data for an optimized crystal structure of Sr2LiCo, as listed in the Alexandria database.

Geometry as POSCAR:
```
Sr2LiCo
1.0
3.698 0.000 0.000
0.000 3.698 0.000
0.000 0.000 8.539
Sr Li Co
2 1 1
Cartesian
0.000 0.000 0.000 Sr
1.849 1.849 3.491 Sr
1.849 1.849 6.351 Li
0.000 0.000 5.461 Co
```

Values from the calculation:
Its spin magnetization is 0.64 μB/cell. As for the space group: No. 99.

---

Going by the energies, (y) is most stable and the next is 0.077 eV/atom up.

---

(w)
First-principles (PBE-GGA) data for an optimized crystal structure of Sr2LiCo, as listed in the Alexandria database.

Geometry as POSCAR:
```
Sr2LiCo
1.0
-1.854 2.673 6.056
1.854 -2.673 6.056
1.854 2.673 -6.056
Sr Li Co
2 1 1
Cartesian
0.000 0.000 0.000 Sr
0.000 2.673 2.423 Sr
0.000 0.000 4.452 Li
1.854 0.000 2.558 Co
```

Values from the calculation:
Its spin magnetization is 0.71 μB/cell. As for the space group: No. 44.

---

(x)
First-principles (PBE-GGA) data for an optimized crystal structure of Sr2LiCo, as listed in the Alexandria database.

Geometry as POSCAR:
```
Sr2LiCo
1.0
0.000 3.827 3.827
3.827 0.000 3.827
3.827 3.827 0.000
Sr Li Co
2 1 1
Cartesian
1.914 1.914 1.914 Sr
5.741 5.741 5.741 Sr
0.000 0.000 0.000 Li
3.827 3.827 3.827 Co
```

Values from the calculation:
Its spin magnetization is 0.19 μB/cell. As for the space group: No. 225.

---

Going by the energies, (x) is most stable and the next is 0.020 eV/atom up.

---

(w)
First-principles (PBE-GGA) data for an optimized crystal structure of Sr2LiCo, as listed in the Alexandria database.

Geometry as POSCAR:
```
Sr2LiCo
1.0
-2.321 2.321 5.498
2.321 -2.321 5.498
2.321 2.321 -5.498
Sr Li Co
2 1 1
Cartesian
0.000 0.000 0.000 Sr
0.000 2.321 2.749 Sr
0.000 0.000 5.498 Li
2.321 0.000 2.749 Co
```

Values from the calculation:
Its spin magnetization is 1.04 μB/cell. As for the space group: No. 119.

---

(x)
First-principles (PBE-GGA) data for an optimized crystal structure of Sr2LiCo, as listed in the Alexandria database.

Geometry as POSCAR:
```
Sr2LiCo
1.0
4.488 0.000 0.000
0.000 4.503 0.000
-2.237 0.000 5.916
Sr Li Co
2 1 1
Cartesian
0.000 0.000 0.000 Sr
0.002 2.251 3.350 Sr
2.244 0.000 2.263 Li
2.245 2.251 0.962 Co
```

Values from the calculation:
Its spin magnetization is 0.58 μB/cell. As for the space group: No. 6.

---

Going by the energies, (x) is most stable and the next is 0.190 eV/atom up.

---

(w)
First-principles (PBE-GGA) data for an optimized crystal structure of SrLi3Co, as listed in the Alexandria database.

Geometry as POSCAR:
```
SrLi3Co
1.0
4.886 0.000 0.000
0.000 4.886 0.000
0.000 0.000 4.886
Sr Li Co
1 3 1
Cartesian
0.000 0.000 0.000 Sr
0.000 2.443 2.443 Li
2.443 0.000 2.443 Li
2.443 2.443 0.000 Li
2.443 2.443 2.443 Co
```

Values from the calculation:
Its spin magnetization is 0.42 μB/cell. As for the space group: No. 221.

---

(x)
First-principles (PBE-GGA) data for an optimized crystal structure of SrLi3Co, as listed in the Alexandria database.

Geometry as POSCAR:
```
SrLi3Co
1.0
5.342 0.000 0.000
0.000 5.342 0.000
0.000 0.000 5.342
Sr Li Co
1 3 1
Cartesian
0.000 0.000 0.000 Sr
0.000 0.000 2.671 Li
0.000 2.671 0.000 Li
2.671 0.000 0.000 Li
2.671 2.671 2.671 Co
```

Values from the calculation:
Its spin magnetization is 1.69 μB/cell. As for the space group: No. 221.

---

Going by the energies, (w) is most stable and the next is 1.073 eV/atom up.